VASP calculation (PBE) on crystalline SrTaW2 at its relaxed geometry.

extended XYZ file:
```
4
Lattice="4.482 0.296 1.706 1.150 3.445 3.146 0.907 -1.134 4.580" Properties=species:S:1:pos:R:3 pbc="T T T"
W 4.905 1.955 7.074
W 1.635 0.652 2.358
Sr 0.000 0.000 0.000
Ta 3.270 1.304 4.716
```

## Properties
Total moment = 0.00 μB per cell
ΔE_f = 1.20 eV per atom
Space-group type = Fm-3m (225)
Relative energy among the computed polymorphs = 508 meV/atom
ρ = 13.47 g cm⁻³


VASP calculation (PBE) on crystalline CaLaHg4 at its relaxed geometry.

extended XYZ file:
```
6
Lattice="0.000 4.303 4.303 4.303 0.000 4.303 4.303 4.303 0.000" Properties=species:S:1:pos:R:3 pbc="T T T"
Hg 3.228 3.228 3.228
Hg 5.379 5.379 3.228
Hg 3.228 5.379 5.379
Hg 5.379 3.228 5.379
Ca 0.000 0.000 0.000
La 6.455 6.455 6.455
```

## Properties
Total moment = 0.00 μB per cell
ΔE_f = -0.33 eV per atom
Space-group type = F-43m (216)
Relative energy among the computed polymorphs = 144 meV/atom
ρ = 10.22 g cm⁻³


VASP calculation (PBE) on crystalline LaDy2YS4 at its relaxed geometry.

extended XYZ file:
```
8
Lattice="5.616 0.305 0.000 -0.307 5.616 0.000 -2.655 -2.960 5.621" Properties=species:S:1:pos:R:3 pbc="T T T"
S 2.321 2.588 2.738
S -0.334 -0.372 2.883
S 5.129 2.742 0.000
S 2.168 5.396 0.000
La 4.976 5.550 0.000
Dy 2.474 -0.220 2.810
Dy -0.488 2.436 2.810
Y 2.321 2.588 0.000
```

## Properties
Total moment = 0.00 μB per cell
Raw formation energy = -2008 meV/atom
Space-group type = I4/mmm (139)
ρ = 6.36 g cm⁻³


VASP calculation (PBE) on crystalline Cs2NbCuCl6 at its relaxed geometry.

extended XYZ file:
```
10
Lattice="-4.917 5.097 0.345 -4.729 -4.722 2.367 -3.319 1.287 6.555" Properties=species:S:1:pos:R:3 pbc="T T T"
Cs -6.529 3.285 4.128
Cs -6.435 -1.624 5.139
Cl -4.777 -2.233 1.854
Cl -4.002 0.788 4.194
Cl -4.869 2.607 0.857
Cl -2.446 0.095 0.688
Cl -7.200 0.279 2.024
Cl -8.963 0.874 5.072
Cu -4.823 0.187 1.356
Nb 0.000 0.000 0.000
```

## Properties
Total moment = 2.00 μB per cell
Raw formation energy = -1313 meV/atom
Space-group type = I4/mmm (139)
ρ = 3.80 g cm⁻³


VASP calculation (PBE) on crystalline MnBe2Au at its relaxed geometry.

extended XYZ file:
```
4
Lattice="4.024 -0.062 0.038 3.144 2.513 0.038 0.698 0.238 4.752" Properties=species:S:1:pos:R:3 pbc="T T T"
Be 7.185 2.457 0.208
Be 3.916 1.339 2.282
Au 5.899 2.017 3.621
Mn 1.966 0.672 1.207
```

## Properties
Total moment = 2.66 μB per cell
ΔE_f = 0.15 eV per atom
Space-group type = C2/m (12)
ρ = 9.17 g cm⁻³


VASP calculation (PBE) on crystalline Cs4Rb2Au2O at its relaxed geometry.

extended XYZ file:
```
9
Lattice="-6.989 -3.118 2.878 1.648 -4.235 6.838 -1.537 3.360 7.332" Properties=species:S:1:pos:R:3 pbc="T T T"
O -3.494 -1.559 1.439
Cs -3.093 0.561 7.136
Cs -5.436 -0.619 10.168
Cs -1.442 -3.375 6.880
Cs -3.785 -4.555 9.912
Au -1.927 -1.502 10.660
Au -4.951 -2.492 6.388
Rb -1.272 -0.741 3.188
Rb -5.607 -3.253 13.860
```

## Properties
Total moment = 0.00 μB per cell
Raw formation energy = -454 meV/atom
Space-group type = C2/m (12)
ρ = 4.15 g cm⁻³


VASP calculation (PBE) on crystalline PrCd4Ni at its relaxed geometry.

extended XYZ file:
```
12
Lattice="-0.074 4.326 0.157 -1.835 -0.287 7.070 8.164 0.062 2.122" Properties=species:S:1:pos:R:3 pbc="T T T"
Ni 0.602 -0.210 6.075
Ni 5.727 -0.015 3.117
Cd 1.907 2.163 0.981
Cd 3.959 2.110 3.430
Cd 4.082 0.031 1.061
Cd 4.347 1.937 8.367
Cd 7.088 2.134 4.243
Cd 2.296 1.991 5.918
Cd -0.833 1.967 5.105
Cd 0.000 0.000 0.000
Pr 1.299 -0.100 3.387
Pr 5.029 -0.124 5.804
```

## Properties
Total moment = 0.00 μB per cell
ΔE_f = -0.22 eV per atom
Space-group type = Pmma (51)
Relative energy among the computed polymorphs = 0 meV/atom
ρ = 8.08 g cm⁻³


VASP calculation (PBE) on crystalline RbTl at its relaxed geometry.

extended XYZ file:
```
16
Lattice="-3.199 0.172 -7.373 7.966 -5.700 -3.589 -4.564 -7.514 1.805" Properties=species:S:1:pos:R:3 pbc="T T T"
Tl -3.713 -7.820 0.823
Tl 3.614 -8.439 -5.541
Tl 1.090 -2.434 -5.518
Tl 3.408 -10.173 -2.786
Tl -3.509 -8.042 -6.360
Tl -1.089 -2.106 -2.889
Tl 1.596 -5.764 -6.280
Tl -0.585 -7.391 -8.078
Rb -5.224 -6.512 -3.311
Rb 0.244 -8.212 -3.637
Rb -1.890 -4.640 -5.574
Rb 4.989 -5.085 -4.762
Rb -1.680 -5.563 -1.304
Rb 3.104 -7.636 -9.247
Rb -1.014 -10.797 -6.674
Rb 2.282 -3.726 -2.120
```

## Properties
Total moment = 0.00 μB per cell
ΔE_f = 0.00 eV per atom
Space-group type = P2_12_12_1 (19)
Relative energy among the computed polymorphs = 58 meV/atom
ρ = 5.12 g cm⁻³


VASP calculation (PBE) on crystalline Mg8Hg2Pb at its relaxed geometry.

extended XYZ file:
```
11
Lattice="4.673 0.067 -1.352 -0.914 6.549 -2.839 0.030 -0.320 8.374" Properties=species:S:1:pos:R:3 pbc="T T T"
Mg 1.754 4.627 2.749
Mg 2.652 6.440 -2.487
Mg 3.953 2.809 1.622
Mg 0.193 3.071 5.977
Mg 4.508 0.141 3.461
Mg 1.092 2.340 0.518
Mg 2.802 1.188 6.129
Mg 0.830 5.537 -0.185
Pb -0.186 5.820 4.782
Hg 3.169 4.012 -0.930
Hg 1.967 1.791 3.462
```

## Properties
Total moment = 0.00 μB per cell
ΔE_f = -0.10 eV per atom
Space-group type = P1 (1)
Relative energy among the computed polymorphs = 0 meV/atom
ρ = 5.28 g cm⁻³


VASP calculation (PBE) on crystalline La2InRh at its relaxed geometry.

extended XYZ file:
```
4
Lattice="-8.208 -1.433 2.712 -7.058 -5.052 1.197 -5.987 -3.994 4.998" Properties=species:S:1:pos:R:3 pbc="T T T"
In -10.627 -5.239 4.453
La -5.682 -2.801 2.381
La -15.572 -7.677 6.526
Rh 0.000 0.000 0.000
```

## Properties
Total moment = 0.00 μB per cell
ΔE_f = -0.55 eV per atom
Space-group type = R-3m (166)
ρ = 6.74 g cm⁻³


VASP calculation (PBE) on crystalline Ac2Ge6OsRu at its relaxed geometry.

extended XYZ file:
```
20
Lattice="7.531 0.000 0.000 3.766 6.522 0.000 3.766 2.174 9.692" Properties=species:S:1:pos:R:3 pbc="T T T"
Ge 9.581 5.531 1.486
Ge 7.531 6.382 3.423
Ge 5.482 3.165 8.206
Ge 9.293 5.365 6.270
Ge 5.770 3.331 3.423
Ge 7.531 1.982 1.486
Ge 5.482 5.531 1.486
Ge 5.770 5.365 6.270
Ge 9.293 3.331 3.423
Ge 7.531 2.314 6.270
Ge 7.531 6.715 8.206
Ge 9.581 3.165 8.206
Ac 11.297 6.522 8.410
Ac 11.297 6.522 4.018
Ac 3.766 2.174 5.674
Ac 3.766 2.174 1.282
Ru 0.000 0.000 0.000
Ru 7.531 4.348 4.846
Os 7.531 4.348 1.749
Os 7.531 4.348 7.944
```

## Properties
Total moment = 0.00 μB per cell
ΔE_f = -0.22 eV per atom
Space-group type = R-3m (166)
ρ = 8.24 g cm⁻³


VASP calculation (PBE) on crystalline ErUTl2Se4 at its relaxed geometry.

extended XYZ file:
```
8
Lattice="-2.611 -2.198 -2.391 0.849 -5.720 4.330 -6.317 4.312 2.934" Properties=species:S:1:pos:R:3 pbc="T T T"
Er 0.000 0.000 0.000
Se -4.801 1.931 3.467
Se -0.667 -3.339 3.798
Se -5.688 -2.063 4.476
Se -2.391 -1.543 0.397
U -0.881 -3.959 0.970
Tl -4.464 1.057 0.271
Tl -2.734 -0.704 3.632
```

## Properties
Total moment = 3.00 μB per cell
Raw formation energy = -1111 meV/atom
Space-group type = P2/m (10)
ρ = 7.96 g cm⁻³


VASP calculation (PBE) on crystalline La8Mg3Rh2 at its relaxed geometry.

extended XYZ file:
```
13
Lattice="3.902 -0.099 -0.384 -0.207 10.013 -4.688 -0.243 -1.158 10.580" Properties=species:S:1:pos:R:3 pbc="T T T"
La 0.655 1.269 2.682
La 2.600 4.062 1.210
La 1.028 5.543 -1.247
La 0.942 0.324 6.343
La 0.852 4.694 4.297
La 2.510 8.431 -0.835
La 2.424 3.212 6.754
La 2.797 7.487 2.826
Rh 2.905 2.049 4.248
Rh 0.547 6.707 1.260
Mg -0.160 7.760 -3.633
Mg 1.951 -0.050 -0.192
Mg -0.047 2.253 -1.055
```

## Properties
Total moment = 0.00 μB per cell
ΔE_f = -0.23 eV per atom
Space-group type = C2/m (12)
ρ = 5.91 g cm⁻³


VASP calculation (PBE) on crystalline LaCePbI at its relaxed geometry.

extended XYZ file:
```
4
Lattice="5.620 0.000 0.000 2.810 4.867 0.000 2.810 1.622 4.589" Properties=species:S:1:pos:R:3 pbc="T T T"
La 8.430 4.867 3.442
Ce 2.810 1.622 1.147
I 0.000 0.000 0.000
Pb 5.620 3.245 2.294
```

## Properties
Total moment = 1.81 μB per cell
Raw formation energy = -660 meV/atom
Space-group type = F-43m (216)
ρ = 8.11 g cm⁻³


VASP calculation (PBE) on crystalline CsBaAuBr2 at its relaxed geometry.

extended XYZ file:
```
5
Lattice="-5.348 3.190 -1.121 -1.378 -3.971 -4.729 -3.103 -3.772 4.072" Properties=species:S:1:pos:R:3 pbc="T T T"
Br -2.674 1.595 -0.560
Br -0.689 -1.986 -2.364
Ba 0.000 0.000 0.000
Cs -4.914 -2.277 -0.889
Au -1.551 -1.886 2.036
```

## Properties
Total moment = 0.00 μB per cell
Raw formation energy = -1394 meV/atom
Space-group type = P4/mmm (123)
ρ = 4.09 g cm⁻³


VASP calculation (PBE) on crystalline Li5Ca2Zn2Ga at its relaxed geometry.

extended XYZ file:
```
20
Lattice="4.022 0.000 0.000 0.000 10.317 0.000 0.000 0.000 10.317" Properties=species:S:1:pos:R:3 pbc="T T T"
Ca 0.000 7.032 1.874
Ca 0.000 3.284 8.443
Ca 0.000 8.443 7.032
Ca 0.000 1.874 3.284
Li 2.011 0.000 5.158
Li 2.011 8.276 9.718
Li 2.011 9.718 2.040
Li 2.011 5.158 0.000
Li 2.011 4.560 3.118
Li 2.011 3.118 5.757
Li 2.011 7.199 4.560
Li 2.011 2.040 0.599
Li 2.011 0.599 8.276
Li 2.011 5.757 7.199
Ga 0.000 5.158 5.158
Ga 0.000 0.000 0.000
Zn 0.000 6.319 9.156
Zn 0.000 3.998 1.161
Zn 0.000 9.156 3.998
Zn 0.000 1.161 6.319
```

## Properties
Total moment = 0.00 μB per cell
ΔE_f = -0.11 eV per atom
Space-group type = P4/mbm (127)
ρ = 2.45 g cm⁻³


VASP calculation (PBE) on crystalline Hf9FeRe4 at its relaxed geometry.

extended XYZ file:
```
28
Lattice="-0.171 2.137 -8.285 -7.034 0.886 4.794 2.356 7.914 1.993" Properties=species:S:1:pos:R:3 pbc="T T T"
Re -0.343 3.977 -6.338
Re -4.507 6.960 4.840
Re 0.189 6.368 1.639
Re -0.228 2.550 -0.806
Re 1.178 3.957 0.996
Re -5.039 4.569 -3.137
Re 0.000 0.000 0.000
Re -4.621 8.387 -0.692
Hf -5.522 1.600 2.293
Hf 0.741 8.483 -0.481
Hf 0.673 9.337 -3.791
Hf -0.229 6.307 -4.554
Hf -2.712 1.246 0.378
Hf -5.591 2.454 -1.017
Hf -2.800 4.350 -4.912
Hf -2.137 9.691 -1.876
Hf -0.074 3.206 -3.591
Hf -4.620 4.630 3.056
Hf -0.161 5.453 -1.244
Hf -2.735 3.541 -1.778
Hf -3.039 6.661 -2.639
Hf -1.810 4.276 1.141
Hf -2.049 6.588 3.414
Hf -4.689 5.484 -0.254
Hf -2.114 7.396 0.280
Hf -4.775 7.731 2.093
Fe -4.157 3.282 0.933
Fe -0.692 7.656 -2.431
```

## Properties
Total moment = 0.00 μB per cell
ΔE_f = -0.31 eV per atom
Space-group type = P6_3/mmc (194)
ρ = 14.84 g cm⁻³


VASP calculation (PBE) on crystalline TaCr3Cu2S8 at its relaxed geometry.

extended XYZ file:
```
14
Lattice="6.910 0.000 0.000 0.000 5.824 -0.024 0.000 0.160 5.945" Properties=species:S:1:pos:R:3 pbc="T T T"
S 3.455 4.485 4.930
S 5.216 1.626 3.999
S 0.000 4.375 4.915
S 1.694 1.626 3.999
S 0.000 1.609 1.006
S 3.455 1.498 0.992
S 5.216 4.358 1.923
S 1.694 4.358 1.923
Cr 0.000 2.992 2.961
Cr 5.161 2.912 -0.012
Cr 1.748 2.912 -0.012
Cu 1.569 0.000 0.000
Cu 5.341 0.000 0.000
Ta 3.455 2.992 2.961
```

## Properties
Total moment = 8.93 μB per cell
Raw formation energy = -628 meV/atom
Space-group type = P2/m (10)
Relative energy among the computed polymorphs = 84 meV/atom
ρ = 5.00 g cm⁻³


VASP calculation (PBE) on crystalline V2GeRu at its relaxed geometry.

extended XYZ file:
```
4
Lattice="4.003 0.000 0.000 0.000 3.699 0.000 0.000 0.000 3.699" Properties=species:S:1:pos:R:3 pbc="T T T"
Ru 2.001 0.000 0.000
V 0.000 1.850 0.000
V 0.000 0.000 1.850
Ge 2.001 1.850 1.850
```

## Properties
Total moment = 0.00 μB per cell
ΔE_f = -0.24 eV per atom
Space-group type = P4/mmm (123)
ρ = 8.36 g cm⁻³


VASP calculation (PBE) on crystalline Hf2CrIr at its relaxed geometry.

extended XYZ file:
```
4
Lattice="5.428 -2.723 -3.994 -2.369 5.592 3.994 -3.924 1.119 6.016" Properties=species:S:1:pos:R:3 pbc="T T T"
Hf -1.985 2.116 3.157
Hf -4.309 4.595 6.853
Cr 0.000 0.000 0.000
Ir -3.147 3.355 5.005
```

## Properties
Total moment = 3.13 μB per cell
ΔE_f = 0.41 eV per atom
Space-group type = Immm (71)
ρ = 11.72 g cm⁻³